No. 1
MnBr3 after structural relaxation, computed with GGA-PBE.

Cell: 10.7107 10.7107 10.7107 Å, 20.20 20.20 20.20°
With the nearest neighbours (Å) after each atom.
Fractional coordinates of all 4 atoms:
Mn1 0.0000 0.0000 0.0000  6 Br 2.66
Br1 0.2842 0.2842 0.2842  3 Mn 2.66
Br2 0.5000 0.5000 0.5000  6 Br 3.76
Br3 0.7158 0.7158 0.7158  3 Mn 2.66

Values from the calculation:
- Total moment: 5.7 μB per formula unit
- Symmetry: R-3m
- Density of states at the Fermi level: 4.74 states/eV per cell
- E_form (uncorrected): -0.372 eV/atom


No. 2
MnBr2 after structural relaxation, computed with GGA-PBE.

Cell: 6.8711 6.8711 4.0365 Å, 92.60 92.60 93.89°
With the nearest neighbours (Å) after each atom.
Fractional coordinates of all 6 atoms:
Mn1 0.0613 0.0613 0.3168  1 Mn 1.93
Mn2 0.9387 0.9387 0.6832  1 Mn 1.93
Br1 0.1911 0.8089 0.0000  2 Mn 2.36
Br2 0.2923 0.2923 0.5402  1 Mn 2.29
Br3 0.7077 0.7077 0.4598  1 Mn 2.29
Br4 0.8089 0.1911 0.0000  2 Mn 2.36

Values from the calculation:
- Total moment: 1.0 μB per formula unit
- Symmetry: C2/m
- Density of states at the Fermi level: 0.65 states/eV per cell
- E_form (uncorrected): -0.318 eV/atom


No. 3
MnBr2 after structural relaxation, computed with GGA-PBE.

Cell: 6.4553 6.4553 6.4553 Å, 60.00 60.00 60.00°
With the nearest neighbours (Å) after each atom.
Fractional coordinates of all 6 atoms:
Mn1 0.1250 0.1250 0.1250  12 Br 3.78, 4 Mn 3.95
Mn2 0.8750 0.8750 0.8750  12 Br 3.78, 4 Mn 3.95
Br1 0.0000 0.5000 0.5000  6 Br 3.23
Br2 0.5000 0.0000 0.5000  6 Br 3.23
Br3 0.5000 0.5000 0.0000  6 Br 3.23
Br4 0.5000 0.5000 0.5000  6 Br 3.23

Values from the calculation:
- Total moment: 6.9 μB per formula unit
- Symmetry: Fd-3m
- Density of states at the Fermi level: 5.20 states/eV per cell
- E_form (uncorrected): 0.935 eV/atom


No. 4
Mn4Br5 after structural relaxation, computed with GGA-PBE.

Cell: 6.8866 6.8866 6.8866 Å, 104.25 104.25 120.51°
With the nearest neighbours (Å) after each atom.
Fractional coordinates of all 9 atoms:
Mn1 0.0000 0.3315 0.3315  3 Br 2.53-2.80
Mn2 0.0000 0.6685 0.6685  3 Br 2.53-2.80
Mn3 0.3315 0.0000 0.3315  3 Br 2.53-2.80
Mn4 0.6685 0.0000 0.6685  3 Br 2.53-2.80
Br1 0.0000 0.0000 0.0000  4 Mn 2.80
Br2 0.2970 0.2970 0.5940  2 Mn 2.53
Br3 0.2970 0.7030 0.0000  2 Mn 2.53
Br4 0.7030 0.2970 0.0000  2 Mn 2.53
Br5 0.7030 0.7030 0.4060  2 Mn 2.53

Values from the calculation:
- Total moment: 17.7 μB per formula unit
- Symmetry: I4/mmm
- Density of states at the Fermi level: 2.86 states/eV per cell
- E_form (uncorrected): -0.110 eV/atom


No. 5
MnBr2 after structural relaxation, computed with GGA-PBE.

Cell: 4.7706 4.7706 3.4747 Å, 90.00 90.00 90.00°
With the nearest neighbours (Å) after each atom.
Fractional coordinates of all 3 atoms:
Mn1 0.0000 0.0000 0.0000  8 Br 2.95
Br1 0.0000 0.5000 0.5000  4 Mn 2.95
Br2 0.5000 0.0000 0.5000  4 Mn 2.95

Values from the calculation:
- Total moment: 5.0 μB per formula unit
- Symmetry: P4/mmm
- Density of states at the Fermi level: 0.23 states/eV per cell
- E_form (uncorrected): -0.260 eV/atom


No. 6
MnBr2 after structural relaxation, computed with GGA-PBE.

Cell: 7.4803 7.4803 7.4803 Å, 30.10 30.10 30.10°
With the nearest neighbours (Å) after each atom.
Fractional coordinates of all 3 atoms:
Mn1 0.0000 0.0000 0.0000  6 Br 2.70
Br1 0.2627 0.2627 0.2627  3 Mn 2.70
Br2 0.7373 0.7373 0.7373  3 Mn 2.70

Values from the calculation:
- Total moment: 5.0 μB per formula unit
- Symmetry: R-3m
- Density of states at the Fermi level: 0.00 states/eV per cell
- E_form (uncorrected): -0.786 eV/atom


No. 7
MnBr3 after structural relaxation, computed with GGA-PBE.

Cell: 10.6750 10.6750 4.5828 Å, 90.00 90.00 141.60°
With the nearest neighbours (Å) after each atom.
Fractional coordinates of all 8 atoms:
Mn1 0.2289 0.7711 0.7500  2 Br 2.59
Mn2 0.7711 0.2289 0.2500  2 Br 2.59
Br1 0.0217 0.9783 0.7500  2 Br 2.45
Br2 0.0550 0.4178 0.7500  1 Mn 2.59
Br3 0.4178 0.0550 0.2500  1 Mn 2.59
Br4 0.5822 0.9450 0.7500  1 Mn 2.59
Br5 0.9450 0.5822 0.2500  1 Mn 2.59
Br6 0.9783 0.0217 0.2500  2 Br 2.45

Values from the calculation:
- Total moment: 4.9 μB per formula unit
- Symmetry: Cmcm
- Density of states at the Fermi level: 2.14 states/eV per cell
- E_form (uncorrected): -0.363 eV/atom


No. 8
Mn2Br after structural relaxation, computed with GGA-PBE.

Cell: 4.3391 4.3391 4.3391 Å, 60.00 60.00 60.00°
With the nearest neighbours (Å) after each atom.
Fractional coordinates of all 3 atoms:
Mn1 0.2500 0.2500 0.2500  4 Br 2.66
Mn2 0.7500 0.7500 0.7500  4 Br 2.66
Br1 0.0000 0.0000 0.0000  8 Mn 2.66

Values from the calculation:
- Total moment: 7.6 μB per formula unit
- Symmetry: Fm-3m
- Density of states at the Fermi level: 3.85 states/eV per cell
- E_form (uncorrected): 0.919 eV/atom


No. 9
Mn2Br after structural relaxation, computed with GGA-PBE.

Cell: 5.8416 5.8416 5.8416 Å, 124.82 124.82 81.83°
With the nearest neighbours (Å) after each atom.
Fractional coordinates of all 6 atoms:
Mn1 0.1785 0.6785 0.8570  5 Mn 2.73-2.81, 4 Br 2.97
Mn2 0.3215 0.1785 0.5000  5 Mn 2.73-2.81, 4 Br 2.97
Mn3 0.6785 0.8215 0.5000  5 Mn 2.73-2.81, 4 Br 2.97
Mn4 0.8215 0.3215 0.1430  5 Mn 2.73-2.81, 4 Br 2.97
Br1 0.2500 0.2500 0.0000  8 Mn 2.97
Br2 0.7500 0.7500 0.0000  8 Mn 2.97

Values from the calculation:
- Total moment: 8.7 μB per formula unit
- Symmetry: I4/mcm
- Density of states at the Fermi level: 5.85 states/eV per cell
- E_form (uncorrected): 0.581 eV/atom


No. 10
MnBr3 after structural relaxation, computed with GGA-PBE.

Cell: 3.6413 3.6413 10.9514 Å, 90.00 90.00 120.00°
With the nearest neighbours (Å) after each atom.
Fractional coordinates of all 4 atoms:
Mn1 0.0000 0.0000 0.0000  6 Br 2.69
Br1 0.0000 0.0000 0.5000  6 Br 3.64
Br2 0.3333 0.6667 0.1538  3 Mn 2.69
Br3 0.3333 0.6667 0.8462  3 Mn 2.69

Values from the calculation:
- Total moment: 5.7 μB per formula unit
- Symmetry: P-6m2
- Density of states at the Fermi level: 4.79 states/eV per cell
- E_form (uncorrected): -0.284 eV/atom


No. 11
MnBr2 after structural relaxation, computed with GGA-PBE.

Cell: 6.7842 6.7842 4.7282 Å, 95.14 95.14 31.49°
With the nearest neighbours (Å) after each atom.
Fractional coordinates of all 3 atoms:
Mn1 0.0000 0.0000 0.0000  4 Br 2.57
Br1 0.3827 0.3827 0.7688  2 Mn 2.57
Br2 0.6173 0.6173 0.2312  2 Mn 2.57

Values from the calculation:
- Total moment: 5.0 μB per formula unit
- Symmetry: C2/m
- E_form (uncorrected): -0.619 eV/atom


No. 12
MnBr2 after structural relaxation, computed with GGA-PBE.

Cell: 3.8847 3.8852 7.0476 Å, 91.46 90.22 119.99°
With the nearest neighbours (Å) after each atom.
Fractional coordinates of all 3 atoms:
Mn1 0.0000 0.0000 0.0000  6 Br 2.70-2.71
Br1 0.3247 0.6526 0.7854  3 Mn 2.70-2.71
Br2 0.6753 0.3474 0.2146  3 Mn 2.70-2.71

Values from the calculation:
- Total moment: 5.0 μB per formula unit
- Symmetry: P-1
- Density of states at the Fermi level: 0.00 states/eV per cell
- E_form (uncorrected): -0.786 eV/atom